NaAc2IO8 | GGA-PBE | optimized geometry

abc: 4.5815 5.4249 7.4713
angles: 89.83 76.49 89.83
Positions (direct):
Na1 0.0000 0.0000 0.0000
Ac1 0.3767 0.4999 0.2829
Ac2 0.6233 0.5001 0.7171
I1 0.0000 0.0000 0.5000
O1 0.1639 0.5059 0.9962
O2 0.1909 0.2587 0.6010
O3 0.1919 0.7390 0.5997
O4 0.2960 0.0015 0.2713
O5 0.7040 0.9985 0.7287
O6 0.8081 0.2610 0.4003
O7 0.8091 0.7413 0.3990
O8 0.8361 0.4941 0.0038

Output
For the uncorrected formation energy, the calculation gives -1.77 eV/atom.

***

KCd2CuRh | GGA-PBE | optimized geometry

abc: 5.2253 5.2253 4.9296
angles: 90.00 90.00 90.00
Positions (direct):
K1 0.0000 0.0000 0.0000
Cd1 0.0000 0.5000 0.5000
Cd2 0.5000 0.0000 0.5000
Cu1 0.5000 0.5000 0.0000
Rh1 0.5000 0.5000 0.5000

Output
As for the energy of formation: 0.14 eV/atom.

***

Number 1: mass density 6.73 Mg/m³. Number 2: mass density 5.31 Mg/m³.